(1)
{"formula": "HfFe2I", "functional": "PBE-GGA", "state": "optimized geometry", "sg": "Fm-3m", "e_tot_ev_per_cell": -104.39, "raw_formation_energy_ev_per_atom": 0.583, "de_polymorph_mev_per_atom": 0, "cell": [[6.373, 0.000, 0.000], [0.000, 6.373, 0.000], [0.000, 0.000, 6.373]], "species": ["Hf", "Hf", "Hf", "Hf", "Fe", "Fe", "Fe", "Fe", "Fe", "Fe", "Fe", "Fe", "I", "I", "I", "I"], "frac_coords": [[0.000, 0.000, 0.000], [0.000, 0.500, 0.500], [0.500, 0.000, 0.500], [0.500, 0.500, 0.000], [0.250, 0.250, 0.250], [0.250, 0.250, 0.750], [0.250, 0.750, 0.250], [0.250, 0.750, 0.750], [0.750, 0.250, 0.250], [0.750, 0.250, 0.750], [0.750, 0.750, 0.250], [0.750, 0.750, 0.750], [0.000, 0.000, 0.500], [0.000, 0.500, 0.000], [0.500, 0.000, 0.000], [0.500, 0.500, 0.500]]}

=====

(2)
{"formula": "AlCo3Mo", "functional": "PBE-GGA", "state": "optimized geometry", "sg": "Pm-3m", "e_tot_ev_per_cell": -30.54, "de_polymorph_mev_per_atom": 0, "cell": [[4.158, 0.000, 0.000], [0.000, 4.158, 0.000], [0.000, 0.000, 4.158]], "species": ["Al", "Co", "Co", "Co", "Mo"], "frac_coords": [[0.000, 0.000, 0.000], [0.000, 0.000, 0.500], [0.000, 0.500, 0.000], [0.500, 0.000, 0.000], [0.500, 0.500, 0.500]]}

=====

(3)
{"formula": "HfScGa4", "functional": "PBE-GGA", "state": "optimized geometry", "sg": "F-43m", "e_tot_ev_per_cell": -30.87, "de_polymorph_mev_per_atom": 29, "cell": [[0.000, 3.728, 3.728], [3.728, 0.000, 3.728], [3.728, 3.728, 0.000]], "species": ["Hf", "Sc", "Ga", "Ga", "Ga", "Ga"], "frac_coords": [[0.000, 0.000, 0.000], [0.750, 0.750, 0.750], [0.375, 0.375, 0.375], [0.375, 0.375, 0.875], [0.375, 0.875, 0.375], [0.875, 0.375, 0.375]]}

=====

(4)
{"formula": "ZnFeSi4", "functional": "PBE-GGA", "state": "optimized geometry", "sg": "F-43m", "e_tot_ev_per_cell": -28.37, "raw_formation_energy_ev_per_atom": 0.510, "cell": [[0.000, 3.511, 3.511], [3.511, 0.000, 3.511], [3.511, 3.511, 0.000]], "species": ["Zn", "Fe", "Si", "Si", "Si", "Si"], "frac_coords": [[0.000, 0.000, 0.000], [0.250, 0.250, 0.250], [0.127, 0.624, 0.624], [0.624, 0.127, 0.624], [0.624, 0.624, 0.127], [0.624, 0.624, 0.624]]}

=====

(5)
{"formula": "TiGa2Si", "functional": "PBE-GGA", "state": "optimized geometry", "sg": "I-42d", "e_tot_ev_per_cell": -77.23, "raw_formation_energy_ev_per_atom": 0.016, "cell": [[7.255, 0.000, 0.000], [0.000, 7.255, 0.000], [0.000, 0.000, 5.193]], "species": ["Ti", "Ti", "Ti", "Ti", "Ga", "Ga", "Ga", "Ga", "Ga", "Ga", "Ga", "Ga", "Si", "Si", "Si", "Si"], "frac_coords": [[0.000, 0.000, 0.000], [0.000, 0.500, 0.250], [0.500, 0.000, 0.750], [0.500, 0.500, 0.500], [0.223, 0.250, 0.625], [0.250, 0.723, 0.875], [0.250, 0.777, 0.375], [0.277, 0.250, 0.125], [0.723, 0.750, 0.125], [0.750, 0.223, 0.375], [0.750, 0.277, 0.875], [0.777, 0.750, 0.625], [0.000, 0.000, 0.500], [0.000, 0.500, 0.750], [0.500, 0.000, 0.250], [0.500, 0.500, 0.000]]}

=====

(6)
{"formula": "UZn2GaPt2", "functional": "PBE-GGA", "state": "optimized geometry", "sg": "P-3m1", "e_tot_ev_per_cell": -31.53, "cell": [[4.420, 0.000, 0.000], [-2.210, 3.828, 0.000], [0.000, 0.000, 6.287]], "species": ["U", "Zn", "Zn", "Ga", "Pt", "Pt"], "frac_coords": [[0.000, 0.000, 0.000], [0.333, 0.667, 0.691], [0.667, 0.333, 0.309], [0.000, 0.000, 0.500], [0.333, 0.667, 0.250], [0.667, 0.333, 0.750]]}

=====

(7)
{"formula": "Tc2AsW", "functional": "PBE-GGA", "state": "optimized geometry", "sg": "R3m", "e_tot_ev_per_cell": -112.50, "cell": [[2.861, 0.000, 0.000], [-1.431, 2.478, 0.000], [0.000, 0.000, 25.829]], "species": ["Tc", "Tc", "Tc", "Tc", "Tc", "Tc", "As", "As", "As", "W", "W", "W"], "frac_coords": [[0.000, 0.000, 0.000], [0.000, 0.000, 0.251], [0.333, 0.667, 0.667], [0.333, 0.667, 0.917], [0.667, 0.333, 0.333], [0.667, 0.333, 0.584], [0.000, 0.000, 0.504], [0.333, 0.667, 0.170], [0.667, 0.333, 0.837], [0.000, 0.000, 0.752], [0.333, 0.667, 0.419], [0.667, 0.333, 0.085]]}

=====

(8)
{"formula": "CaHo2Tm", "functional": "PBE-GGA", "state": "optimized geometry", "sg": "R-3m", "e_tot_ev_per_cell": -44.91, "de_polymorph_mev_per_atom": 96, "cell": [[3.517, 0.000, 0.000], [-1.758, 3.046, 0.000], [0.000, 0.000, 37.335]], "species": ["Ca", "Ca", "Ca", "Ho", "Ho", "Ho", "Ho", "Ho", "Ho", "Tm", "Tm", "Tm"], "frac_coords": [[0.000, 0.000, 0.000], [0.333, 0.667, 0.667], [0.667, 0.333, 0.333], [0.000, 0.000, 0.092], [0.000, 0.000, 0.908], [0.333, 0.667, 0.575], [0.333, 0.667, 0.758], [0.667, 0.333, 0.242], [0.667, 0.333, 0.425], [0.000, 0.000, 0.500], [0.333, 0.667, 0.167], [0.667, 0.333, 0.833]]}

=====

> What is the formula in the sixth record?

UZn2GaPt2